Dy2HoGa3Pt4 after structural relaxation. Source: the Alexandria database, functional PBE.

Values from the calculation:
ΔE_f in eV per atom: -0.97

abc: 4.150 4.150 11.581
angles: 90.00 90.00 90.00
Space group P-4m2 (No. 115)
Inequivalent atoms, fractional coordinates:
Dy1 0.000 0.500 0.227
Ho1 0.000 0.000 0.500
Ga1 0.000 0.500 0.872
Ga2 0.500 0.500 0.500
Pt1 0.000 0.000 0.000
Pt2 0.000 0.500 0.659
Pt3 0.500 0.500 0.000

Y4ZrSb5 after structural relaxation. Source: the Alexandria database, functional PBE.

Values from the calculation:
ΔE_f (raw) in eV per atom: -1.039
Offset from the most stable computed form in eV per atom: 0.000

abc: 9.683 9.683 6.133
angles: 90.00 90.00 90.00
Space group I4/m (No. 87)
Inequivalent atoms, fractional coordinates:
Y1 0.096 0.301 0.000
Zr1 0.000 0.000 0.500
Sb1 0.000 0.000 0.000
Sb2 0.099 0.291 0.500

Al2Cu after structural relaxation. Source: the Alexandria database, functional PBE.

Values from the calculation:
ΔE_f in eV per atom: 0.30

abc: 7.308 7.308 7.308
angles: 90.00 90.00 90.00
Space group Fd-3m (No. 227, origin choice 2)
Inequivalent atoms, fractional coordinates:
Al1 0.000 0.000 0.000
Cu1 0.125 0.125 0.625

Ba3Li2Pd7 after structural relaxation. Source: the Alexandria database, functional PBE.

Values from the calculation:
ΔE_f in eV per atom: -0.54

abc: 5.7027 5.7027 26.4922
angles: 90.00 90.00 120.00
Space group R-3m (No. 166, hexagonal axes)
Inequivalent atoms, fractional coordinates:
Ba1 0.0000 0.0000 0.0000
Ba2 0.0000 0.0000 0.1398
Li1 0.0000 0.0000 0.3347
Pd1 0.0000 0.0000 0.5000
Pd2 0.0008 0.5004 0.9213

Li2TiZnO4 after structural relaxation. Source: the Alexandria database, functional PBE.

Values from the calculation:
ΔE_f (raw) in eV per atom: -2.246

abc: 5.939 5.978 8.588
angles: 90.00 90.00 90.00
Space group Imma (No. 74)
Inequivalent atoms, fractional coordinates:
Li1 0.000 0.000 0.000
Li2 0.250 0.250 0.250
Ti1 0.250 0.250 0.750
Zn1 0.000 0.000 0.500
O1 0.000 0.022 0.755
O2 0.244 0.250 0.521

LiAlAg2 after structural relaxation. Source: the Alexandria database, functional PBE.

Values from the calculation:
ΔE_f in eV per atom: -0.20

abc: 9.675 3.018 4.629
angles: 90.00 106.31 90.00
Space group Cm (No. 8)
Inequivalent atoms, fractional coordinates:
Li1 0.000 0.000 0.000
Al1 0.255 0.500 0.337
Ag1 0.252 0.000 0.837
Ag2 0.496 0.000 0.490

AcCu2Ni2 after structural relaxation. Source: the Alexandria database, functional PBE.

Values from the calculation:
ΔE_f in eV per atom: -0.13

abc: 5.462 5.946 6.650
angles: 86.63 66.69 65.25
Space group P-1 (No. 2)
Inequivalent atoms, fractional coordinates:
Ac1 0.132 0.247 0.257
Cu1 0.246 0.135 0.725
Cu2 0.462 0.625 0.202
Ni1 0.217 0.811 0.964
Ni2 0.472 0.699 0.557

TeRuWN2 after structural relaxation. Source: the Alexandria database, functional PBE.

Values from the calculation:
ΔE_f (raw) in eV per atom: 0.868
Offset from the most stable computed form in eV per atom: 0.000

abc: 3.896 3.896 5.822
angles: 90.00 90.00 90.00
Space group P4/mmm (No. 123)
Inequivalent atoms, fractional coordinates:
Te1 0.000 0.000 0.000
Ru1 0.500 0.500 0.000
W1 0.000 0.000 0.500
N1 0.000 0.500 0.500

Ce3Er2In4 after structural relaxation. Source: the Alexandria database, functional PBE.

Values from the calculation:
ΔE_f in eV per atom: -0.33

abc: 5.071 5.469 10.025
angles: 93.85 90.75 117.44
Space group P-1 (No. 2)
Inequivalent atoms, fractional coordinates:
Ce1 0.000 0.000 0.000
Ce2 0.333 0.612 0.440
Er1 0.340 0.697 0.782
In1 0.002 0.038 0.660
In2 0.328 0.649 0.109

CdFeAs after structural relaxation. Source: the Alexandria database, functional PBE.

Values from the calculation:
ΔE_f in eV per atom: 0.19
Offset from the most stable computed form in eV per atom: 0.176

abc: 4.0039 4.0039 3.8218
angles: 90.00 90.00 120.00
Space group P-6m2 (No. 187)
Inequivalent atoms, fractional coordinates:
Cd1 0.0000 0.0000 0.0000
Fe1 0.6667 0.3333 0.5000
As1 0.3333 0.6667 0.5000

La2Y3Mg after structural relaxation. Source: the Alexandria database, functional PBE.

Values from the calculation:
ΔE_f in eV per atom: 0.01

abc: 6.801 6.897 8.745
angles: 82.48 78.97 79.15
Space group P-1 (No. 2)
Inequivalent atoms, fractional coordinates:
La1 0.114 0.033 0.167
La2 0.272 0.654 0.462
Y1 0.035 0.541 0.178
Y2 0.263 0.146 0.532
Y3 0.422 0.697 0.840
Mg1 0.407 0.204 0.856

CeZr2Pa after structural relaxation. Source: the Alexandria database, functional PBE.

Values from the calculation:
ΔE_f in eV per atom: 0.06
Offset from the most stable computed form in eV per atom: 0.000

abc: 3.2128 3.2128 32.8149
angles: 90.00 90.00 120.00
Space group R3m (No. 160, hexagonal axes)
Inequivalent atoms, fractional coordinates:
Ce1 0.0000 0.0000 0.0000
Zr1 0.0000 0.0000 0.1684
Zr2 0.0000 0.0000 0.5814
Pa1 0.0000 0.0000 0.7528

Ag2AsP after structural relaxation. Source: the Alexandria database, functional PBE.

Values from the calculation:
ΔE_f in eV per atom: 0.36
Offset from the most stable computed form in eV per atom: 0.176

abc: 5.024 5.024 2.858
angles: 90.00 90.00 90.00
Space group P4/mmm (No. 123)
Inequivalent atoms, fractional coordinates:
Ag1 0.000 0.500 0.000
As1 0.000 0.000 0.500
P1 0.500 0.500 0.500

Sm3YCd after structural relaxation. Source: the Alexandria database, functional PBE.

Values from the calculation:
ΔE_f in eV per atom: -0.03
Offset from the most stable computed form in eV per atom: 0.084

abc: 14.950 13.277 6.456
angles: 90.00 103.83 90.00
Space group C2/c (No. 15)
Inequivalent atoms, fractional coordinates:
Sm1 0.102 0.064 0.476
Sm2 0.186 0.312 0.625
Sm3 0.201 0.430 0.133
Y1 0.095 0.200 0.993
Cd1 0.000 0.364 0.250
Cd2 0.000 0.412 0.750

BaLaHo2 after structural relaxation. Source: the Alexandria database, functional PBE.

Values from the calculation:
ΔE_f in eV per atom: 0.24
Offset from the most stable computed form in eV per atom: 0.074

abc: 3.6465 3.6465 38.8962
angles: 90.00 90.00 120.00
Space group R-3m (No. 166, hexagonal axes)
Inequivalent atoms, fractional coordinates:
Ba1 0.0000 0.0000 0.0000
La1 0.0000 0.0000 0.5000
Ho1 0.0000 0.0000 0.0927

HoMgGa2Pd2 after structural relaxation. Source: the Alexandria database, functional PBE.

Values from the calculation:
ΔE_f in eV per atom: -0.73

abc: 4.4243 4.4243 6.5102
angles: 90.00 90.00 120.00
Space group P-3m1 (No. 164)
Inequivalent atoms, fractional coordinates:
Ho1 0.0000 0.0000 0.0000
Mg1 0.0000 0.0000 0.5000
Ga1 0.3333 0.6667 0.7207
Pd1 0.3333 0.6667 0.2874

LiCu5F12 after structural relaxation. Source: the Alexandria database, functional PBE.

Values from the calculation:
ΔE_f (raw) in eV per atom: -1.581
Offset from the most stable computed form in eV per atom: 0.088

abc: 5.324 9.585 8.859
angles: 90.00 90.18 90.00
Space group C2/m (No. 12)
Inequivalent atoms, fractional coordinates:
Li1 0.000 0.000 0.000
Cu1 0.000 0.166 0.500
Cu2 0.000 0.334 0.000
Cu3 0.000 0.500 0.500
F1 0.153 0.500 0.893
F2 0.171 0.000 0.607
F3 0.172 0.334 0.606
F4 0.178 0.173 0.893

K2CoPt after structural relaxation. Source: the Alexandria database, functional PBE.

Values from the calculation:
ΔE_f in eV per atom: 0.73
Offset from the most stable computed form in eV per atom: 0.549

abc: 3.020 5.180 5.666
angles: 90.00 90.11 90.00
Space group P2/m (No. 10)
Inequivalent atoms, fractional coordinates:
K1 0.005 0.000 0.252
Co1 0.500 0.500 0.000
Pt1 0.500 0.500 0.500

GdMgZn2 after structural relaxation. Source: the Alexandria database, functional PBE.

Values from the calculation:
ΔE_f in eV per atom: -0.33
Offset from the most stable computed form in eV per atom: 0.000

abc: 6.875 6.875 6.875
angles: 90.00 90.00 90.00
Space group Fm-3m (No. 225)
Inequivalent atoms, fractional coordinates:
Gd1 0.000 0.000 0.000
Mg1 0.000 0.000 0.500
Zn1 0.250 0.250 0.250

TbHo2Co9 after structural relaxation. Source: the Alexandria database, functional PBE.

Values from the calculation:
ΔE_f in eV per atom: -0.19

abc: 4.9747 4.9747 24.2819
angles: 90.00 90.00 120.00
Space group R-3m (No. 166, hexagonal axes)
Inequivalent atoms, fractional coordinates:
Tb1 0.0000 0.0000 0.0000
Ho1 0.0000 0.0000 0.1399
Co1 0.0000 0.0000 0.3349
Co2 0.0000 0.0000 0.5000
Co3 0.0032 0.5016 0.9184

Number 1: calculated density 12.3 g/cm3. Number 2: calculated density 6.1 g/cm3. Number 3: calculated density 4.0 g/cm3. Number 4: calculated density 7.8 g/cm3. Number 5: calculated density 4.2 g/cm3. Number 6: calculated density 6.4 g/cm3. Number 7: calculated density 8.8 g/cm3. Number 8: calculated density 8.3 g/cm3. Number 9: calculated density 8.2 g/cm3. Number 10: calculated density 7.6 g/cm3. Number 11: calculated density 4.8 g/cm3. Number 12: calculated density 9.4 g/cm3. Number 13: calculated density 7.4 g/cm3. Number 14: calculated density 7.0 g/cm3. Number 15: calculated density 6.7 g/cm3. Number 16: calculated density 8.1 g/cm3. Number 17: calculated density 4.1 g/cm3. Number 18: calculated density 6.2 g/cm3. Number 19: calculated density 6.4 g/cm3. Number 20: calculated density 9.8 g/cm3.